No. 1
A plane-wave DFT calculation with GGA-PBE was carried out for crystalline U2NiAs4 at its relaxed geometry.

Values from the calculation:
**Raw total energy**: -51.25 eV per cell
**Symmetry**: No. 115

Unit cell a=3.990 b=3.990 c=8.632 alpha=90.00 beta=90.00 gamma=90.00
Element x y z (fractional)
As 0.500 0.500 0.500
As 0.000 0.000 0.500
As 0.000 0.500 0.850
As 0.500 0.000 0.150
Ni 0.500 0.500 0.000
U 0.000 0.500 0.238
U 0.500 0.000 0.762



No. 2
A plane-wave DFT calculation with GGA-PBE was carried out for crystalline YNiAs at its relaxed geometry.

Values from the calculation:
**Raw total energy**: -57.61 eV per cell
**Symmetry**: No. 189

Unit cell a=6.904 b=6.904 c=3.928 alpha=90.00 beta=90.00 gamma=120.00
Element x y z (fractional)
Y 0.000 0.615 0.500
Y 0.385 0.385 0.500
Y 0.615 0.000 0.500
As 0.000 0.284 0.000
As 0.284 0.000 0.000
As 0.716 0.716 0.000
Ni 0.333 0.667 0.000
Ni 0.000 0.000 0.500
Ni 0.667 0.333 0.000



No. 3
A plane-wave DFT calculation with GGA-PBE was carried out for crystalline YNiAs2 at its relaxed geometry.

Values from the calculation:
**Raw total energy**: -22.27 eV per cell
**Symmetry**: No. 216

Unit cell a=4.725 b=4.725 c=4.725 alpha=60.00 beta=60.00 gamma=60.00
Element x y z (fractional)
Y 0.500 0.500 0.500
As 0.250 0.250 0.250
As 0.000 0.000 0.000
Ni 0.750 0.750 0.750



No. 4
A plane-wave DFT calculation with GGA-PBE was carried out for crystalline YNiAs at its relaxed geometry.

Values from the calculation:
**Raw total energy**: -58.55 eV per cell
**Symmetry**: No. 189

Unit cell a=6.792 b=6.792 c=3.989 alpha=90.00 beta=90.00 gamma=120.00
Element x y z (fractional)
Y 0.000 0.588 0.500
Y 0.412 0.412 0.500
Y 0.588 0.000 0.500
As 0.000 0.000 0.500
As 0.333 0.667 0.000
As 0.667 0.333 0.000
Ni 0.752 0.752 0.000
Ni 0.248 0.000 0.000
Ni 0.000 0.248 0.000



No. 5
A plane-wave DFT calculation with GGA-PBE was carried out for crystalline Zr3Ni4As4 at its relaxed geometry.

Values from the calculation:
**Symmetry**: No. 121
**Energy above the lowest structure with this stoichiometry**: 72 meV per atom

Unit cell a=5.827 b=5.827 c=7.089 alpha=65.73 beta=65.73 gamma=90.00
Element x y z (fractional)
As 0.756 0.756 0.488
As 0.000 0.500 0.000
As 0.500 0.000 0.000
As 0.244 0.244 0.512
Ni 0.124 0.629 0.247
Ni 0.876 0.876 0.753
Ni 0.371 0.371 0.753
Ni 0.629 0.124 0.247
Zr 0.250 0.750 0.500
Zr 0.500 0.500 0.000
Zr 0.750 0.250 0.500



No. 6
A plane-wave DFT calculation with GGA-PBE was carried out for crystalline Zr3Ni2As2 at its relaxed geometry.

Values from the calculation:
**Raw total energy**: -49.07 eV per cell
**Symmetry**: No. 160

Unit cell a=7.986 b=7.986 c=7.986 alpha=32.91 beta=32.91 gamma=32.91
Element x y z (fractional)
Ni 0.736 0.736 0.736
Ni 0.268 0.268 0.268
As 0.998 0.998 0.998
As 0.504 0.504 0.504
Zr 0.387 0.387 0.387
Zr 0.861 0.861 0.861
Zr 0.621 0.621 0.621



No. 7
A plane-wave DFT calculation with GGA-PBE was carried out for crystalline Zr3Ni4As4 at its relaxed geometry.

Values from the calculation:
**Symmetry**: No. 6
**Energy above the lowest structure with this stoichiometry**: 0 meV per atom

Unit cell a=6.462 b=3.832 c=7.296 alpha=90.00 beta=89.79 gamma=90.00
Element x y z (fractional)
As 0.768 0.250 0.380
As 0.221 0.750 0.635
As 0.762 0.750 0.877
As 0.260 0.250 0.105
Ni 0.147 0.250 0.446
Ni 0.381 0.750 0.942
Ni 0.637 0.250 0.062
Ni 0.855 0.750 0.560
Zr 0.469 0.750 0.318
Zr 0.521 0.250 0.693
Zr 0.978 0.750 0.180



No. 8
A plane-wave DFT calculation with GGA-PBE was carried out for crystalline Zr3Ni3As4 at its relaxed geometry.

Values from the calculation:
**Raw total energy**: -138.81 eV per cell
**Symmetry**: No. 220

Unit cell a=7.518 b=7.518 c=7.518 alpha=109.47 beta=109.47 gamma=109.47
Element x y z (fractional)
As 0.000 0.837 0.500
As 0.663 0.663 0.663
As 0.000 0.337 0.500
As 0.500 0.000 0.837
As 0.163 0.163 0.163
As 0.837 0.500 0.000
As 0.337 0.500 0.000
As 0.500 0.000 0.337
Zr 0.750 0.875 0.125
Zr 0.625 0.375 0.250
Zr 0.375 0.250 0.625
Zr 0.875 0.125 0.750
Zr 0.250 0.625 0.375
Zr 0.125 0.750 0.875
Ni 0.625 0.750 0.375
Ni 0.750 0.375 0.625
Ni 0.875 0.250 0.125
Ni 0.125 0.875 0.250
Ni 0.250 0.125 0.875
Ni 0.375 0.625 0.750



No. 9
A plane-wave DFT calculation with GGA-PBE was carried out for crystalline Np4As3P at its relaxed geometry.

Values from the calculation:
**Raw total energy**: -76.88 eV per cell
**Symmetry**: No. 10

Unit cell a=5.774 b=4.075 c=8.157 alpha=90.00 beta=90.00 gamma=90.00
Element x y z (fractional)
As 0.250 0.000 0.875
As 0.751 0.500 0.125
As 0.749 0.500 0.625
Np 0.249 0.500 0.617
Np 0.750 0.000 0.375
Np 0.251 0.500 0.133
Np 0.750 0.000 0.875
P 0.250 0.000 0.375



No. 10
A plane-wave DFT calculation with GGA-PBE was carried out for crystalline Np2AsP at its relaxed geometry.

Values from the calculation:
**Raw total energy**: -78.01 eV per cell
**Symmetry**: No. 11

Unit cell a=5.707 b=4.032 c=8.072 alpha=90.00 beta=90.01 gamma=90.00
Element x y z (fractional)
Np 0.251 0.250 0.883
Np 0.249 0.250 0.367
Np 0.751 0.750 0.633
Np 0.749 0.750 0.117
P 0.249 0.750 0.125
P 0.751 0.250 0.875
As 0.251 0.750 0.625
As 0.749 0.250 0.375



No. 11
A plane-wave DFT calculation with GGA-PBE was carried out for crystalline Np2AsP at its relaxed geometry.

Values from the calculation:
**Raw total energy**: -78.01 eV per cell
**Symmetry**: No. 59

Unit cell a=4.033 b=8.073 c=5.711 alpha=90.00 beta=90.00 gamma=90.00
Element x y z (fractional)
P 0.500 0.375 0.250
P 0.000 0.625 0.750
Np 0.500 0.867 0.750
Np 0.000 0.617 0.250
Np 0.000 0.133 0.250
Np 0.500 0.383 0.750
As 0.000 0.125 0.750
As 0.500 0.875 0.250



No. 12
A plane-wave DFT calculation with GGA-PBE was carried out for crystalline NpPaAs at its relaxed geometry.

Values from the calculation:
**Symmetry**: No. 216
**Energy above the lowest structure with this stoichiometry**: 0 meV per atom

Unit cell a=4.814 b=4.814 c=4.814 alpha=60.00 beta=60.00 gamma=60.00
Element x y z (fractional)
Np 0.250 0.250 0.250
Pa 0.750 0.750 0.750
As 0.000 0.000 0.000



No. 13
A plane-wave DFT calculation with GGA-PBE was carried out for crystalline PrNpAs at its relaxed geometry.

Values from the calculation:
**Raw total energy**: -23.07 eV per cell
**Symmetry**: No. 216

Unit cell a=4.954 b=4.954 c=4.954 alpha=60.00 beta=60.00 gamma=60.00
Element x y z (fractional)
As 0.000 0.000 0.000
Np 0.250 0.250 0.250
Pr 0.750 0.750 0.750



No. 14
A plane-wave DFT calculation with GGA-PBE was carried out for crystalline NpAsPt at its relaxed geometry.

Values from the calculation:
**Raw total energy**: -25.04 eV per cell
**Symmetry**: No. 216

Unit cell a=4.525 b=4.525 c=4.525 alpha=60.00 beta=60.00 gamma=60.00
Element x y z (fractional)
Np 0.750 0.750 0.750
As 0.250 0.250 0.250
Pt 0.000 0.000 0.000



No. 15
A plane-wave DFT calculation with GGA-PBE was carried out for crystalline Pu2NpAs3 at its relaxed geometry.

Values from the calculation:
**Raw total energy**: -61.03 eV per cell
**Symmetry**: No. 71

Unit cell a=7.161 b=7.161 c=7.161 alpha=146.49 beta=131.85 gamma=59.94
Element x y z (fractional)
As 0.500 0.000 0.500
As 0.835 0.335 0.500
As 0.165 0.665 0.500
Pu 0.667 0.667 0.000
Pu 0.333 0.333 0.000
Np 0.000 0.000 0.000



No. 16
A plane-wave DFT calculation with GGA-PBE was carried out for crystalline Rb2NpAs2 at its relaxed geometry.

Values from the calculation:
**Raw total energy**: -50.77 eV per cell
**Symmetry**: No. 63

Unit cell a=9.822 b=9.822 c=5.657 alpha=90.00 beta=90.00 gamma=136.68
Element x y z (fractional)
Rb 0.591 0.409 0.250
Rb 0.409 0.591 0.750
Rb 0.777 0.223 0.750
Rb 0.223 0.777 0.250
As 0.302 0.061 0.750
As 0.698 0.939 0.250
As 0.061 0.302 0.250
As 0.939 0.698 0.750
Np 0.000 0.000 0.500
Np 0.000 0.000 0.000



No. 17
A plane-wave DFT calculation with GGA-PBE was carried out for crystalline RbNpAs at its relaxed geometry.

Values from the calculation:
**Raw total energy**: -17.48 eV per cell
**Symmetry**: No. 216

Unit cell a=5.250 b=5.250 c=5.250 alpha=60.00 beta=60.00 gamma=60.00
Element x y z (fractional)
Np 0.250 0.250 0.250
As 0.000 0.000 0.000
Rb 0.750 0.750 0.750



No. 18
A plane-wave DFT calculation with GGA-PBE was carried out for crystalline NpScAs at its relaxed geometry.

Values from the calculation:
**Raw total energy**: -24.74 eV per cell
**Symmetry**: No. 216

Unit cell a=4.697 b=4.697 c=4.697 alpha=60.00 beta=60.00 gamma=60.00
Element x y z (fractional)
As 0.000 0.000 0.000
Np 0.250 0.250 0.250
Sc 0.750 0.750 0.750



No. 19
A plane-wave DFT calculation with GGA-PBE was carried out for crystalline NpAsSe at its relaxed geometry.

Values from the calculation:
**Raw total energy**: -47.70 eV per cell
**Symmetry**: No. 139

Unit cell a=8.758 b=8.758 c=8.758 alpha=153.68 beta=153.68 gamma=37.56
Element x y z (fractional)
Np 0.365 0.365 0.000
Np 0.635 0.635 0.000
Se 0.816 0.816 0.000
Se 0.184 0.184 0.000
As 0.500 0.000 0.500
As 0.000 0.500 0.500



No. 20
A plane-wave DFT calculation with GGA-PBE was carried out for crystalline NpSiAs at its relaxed geometry.

Values from the calculation:
**Raw total energy**: -22.58 eV per cell
**Symmetry**: No. 216

Unit cell a=4.618 b=4.618 c=4.618 alpha=60.00 beta=60.00 gamma=60.00
Element x y z (fractional)
Np 0.000 0.000 0.000
Si 0.750 0.750 0.750
As 0.250 0.250 0.250



No. 21
A plane-wave DFT calculation with GGA-PBE was carried out for crystalline NpSiAs at its relaxed geometry.

Values from the calculation:
**Raw total energy**: -22.52 eV per cell
**Symmetry**: No. 216

Unit cell a=4.507 b=4.507 c=4.507 alpha=60.00 beta=60.00 gamma=60.00
Element x y z (fractional)
Si 0.000 0.000 0.000
Np 0.750 0.750 0.750
As 0.250 0.250 0.250



No. 22
A plane-wave DFT calculation with GGA-PBE was carried out for crystalline SmNpAs at its relaxed geometry.

Values from the calculation:
**Raw total energy**: -23.05 eV per cell
**Symmetry**: No. 216

Unit cell a=4.900 b=4.900 c=4.900 alpha=60.00 beta=60.00 gamma=60.00
Element x y z (fractional)
Sm 0.750 0.750 0.750
As 0.000 0.000 0.000
Np 0.250 0.250 0.250



No. 23
A plane-wave DFT calculation with GGA-PBE was carried out for crystalline SrNpAs2 at its relaxed geometry.

Values from the calculation:
**Symmetry**: No. 63
**Energy above the lowest structure with this stoichiometry**: 234 meV per atom

Unit cell a=9.972 b=9.972 c=5.645 alpha=90.00 beta=90.00 gamma=156.36
Element x y z (fractional)
Sr 0.926 0.074 0.750
Sr 0.074 0.926 0.250
As 0.556 0.444 0.750
As 0.444 0.556 0.250
As 0.298 0.702 0.750
As 0.702 0.298 0.250
Np 0.304 0.696 0.250
Np 0.696 0.304 0.750



No. 24
A plane-wave DFT calculation with GGA-PBE was carried out for crystalline SrNpAs2 at its relaxed geometry.

Values from the calculation:
**Symmetry**: No. 166
**Energy above the lowest structure with this stoichiometry**: 0 meV per atom

Unit cell a=7.506 b=7.506 c=7.506 alpha=32.92 beta=32.92 gamma=32.92
Element x y z (fractional)
As 0.262 0.262 0.262
As 0.738 0.738 0.738
Sr 0.500 0.500 0.500
Np 0.000 0.000 0.000



No. 25
A plane-wave DFT calculation with GGA-PBE was carried out for crystalline NpTaAs at its relaxed geometry.

Values from the calculation:
**Symmetry**: No. 216
**Energy above the lowest structure with this stoichiometry**: 729 meV per atom

Unit cell a=4.577 b=4.577 c=4.577 alpha=60.00 beta=60.00 gamma=60.00
Element x y z (fractional)
Np 0.000 0.000 0.000
As 0.250 0.250 0.250
Ta 0.750 0.750 0.750



No. 26
A plane-wave DFT calculation with GGA-PBE was carried out for crystalline NpTaAs at its relaxed geometry.

Values from the calculation:
**Symmetry**: No. 216
**Energy above the lowest structure with this stoichiometry**: 0 meV per atom

Unit cell a=4.541 b=4.541 c=4.541 alpha=60.00 beta=60.00 gamma=60.00
Element x y z (fractional)
Np 0.250 0.250 0.250
Ta 0.750 0.750 0.750
As 0.000 0.000 0.000



No. 27
A plane-wave DFT calculation with GGA-PBE was carried out for crystalline TbNpAs at its relaxed geometry.

Values from the calculation:
**Raw total energy**: -22.96 eV per cell
**Symmetry**: No. 216

Unit cell a=4.843 b=4.843 c=4.843 alpha=60.00 beta=60.00 gamma=60.00
Element x y z (fractional)
Np 0.250 0.250 0.250
Tb 0.750 0.750 0.750
As 0.000 0.000 0.000